VASP calculation (PBE-GGA) on a geometry-optimized BaBeBr3 structure.

Results
**Space group**: Pm-3m (221)
**Raw formation energy**: -5.25 eV/f.u.
**Mass density**: 4.78 g/cm³

abc: 5.1204 5.1204 5.1204
angles: 90.00 90.00 90.00
Atoms (fractional coordinates):
Br (0.0000, 0.5000, 0.0000)
Br (0.5000, 0.0000, 0.0000)
Br (0.0000, 0.0000, 0.5000)
Be (0.0000, 0.0000, 0.0000)
Ba (0.5000, 0.5000, 0.5000)